# SnIBr, relaxed, DFT GGA-PBEsol
data_SnIBr
_cell_length_a 8.561
_cell_length_b 4.295
_cell_length_c 10.554
_cell_angle_alpha 90.00
_cell_angle_beta 90.00
_cell_angle_gamma 90.00
_space_group_name_H-M_alt 'P n m a'
_space_group_IT_number 62
_space_group_name_Hall '-P 2ac 2n'
loop_
_atom_site_label
_atom_site_fract_x
_atom_site_fract_y
_atom_site_fract_z
Sn1 0.142 0.250 0.156
I1 0.012 0.250 0.674
Br1 0.160 0.750 0.950
# Final energy   -3.24 eV per atom
# Energy relative to the elements, uncorrected   -1.83 eV per formula unit